# W2SI4 (PBE, optimized geometry)
data_W2SI4
_symmetry_space_group_name_H-M 'I 4/m m m'
_symmetry_Int_Tables_number 139
_symmetry_space_group_name_Hall '-I 4 2'
_cell_length_a 5.448
_cell_length_b 5.448
_cell_length_c 20.560
_cell_angle_alpha 90.00
_cell_angle_beta 90.00
_cell_angle_gamma 90.00
loop_
_atom_site_label
_atom_site_type_symbol
_atom_site_fract_x
_atom_site_fract_y
_atom_site_fract_z
W1 W 0.000 0.000 0.059
S1 S 0.000 0.000 0.500
I1 I 0.000 0.000 0.188
I2 I 0.000 0.500 0.000
# electronic total energy = -57.22 eV per cell
# D(E_F) = 18.43 states/eV per cell
# crystal system = tetragonal
# volume = 43.59 A^3/atom